Record 1
A PBEsol-optimized structure of CrFe3Cl, computed with SCAN.

Calculated values
**DFT total energy**: -14.843 eV per atom
**Uncorrected formation energy**: 1.31 eV per atom
**DOS(E_F)**: 4.23 states/eV/f.u.
**Magnetic moment**: 0.94 μB per atom

Cell and atoms, written as CIF:
```
data_CrFe3Cl
_space_group_name_H-M_alt 'P m -3 m'
_space_group_IT_number 221
_space_group_name_Hall '-P 4 2 3'
_cell_length_a 4.262
_cell_length_b 4.262
_cell_length_c 4.262
_cell_angle_alpha 90.00
_cell_angle_beta 90.00
_cell_angle_gamma 90.00
loop_
_atom_site_label
_atom_site_fract_x
_atom_site_fract_y
_atom_site_fract_z
Cr1 0.000 0.000 0.000
Fe1 0.000 0.000 0.500
Cl1 0.500 0.500 0.500
```

Record 2
A PBEsol-optimized structure of Hf2TaGe2, computed with SCAN.

Calculated values
**Formation energy from the elements**: -0.71 eV/atom
**DFT total energy**: -46.733 eV per atom
**DOS(E_F)**: 2.01 states/eV/f.u.
**Magnetic moment**: 0.00 μB per atom

Cell and atoms, written as CIF:
```
data_Hf2TaGe2
_space_group_name_H-M_alt 'P 4/m b m'
_space_group_IT_number 127
_space_group_name_Hall '-P 4 2ab'
_cell_length_a 6.880
_cell_length_b 6.880
_cell_length_c 3.693
_cell_angle_alpha 90.00
_cell_angle_beta 90.00
_cell_angle_gamma 90.00
loop_
_atom_site_label
_atom_site_fract_x
_atom_site_fract_y
_atom_site_fract_z
Hf1 0.173 0.327 0.000
Ta1 0.000 0.000 0.500
Ge1 0.131 0.631 0.500
```

Record 3
A PBEsol-optimized structure of TeBr, computed with SCAN.

Calculated values
**DFT total energy**: -28.556 eV per atom
**Uncorrected formation energy**: -0.20 eV per atom
**Magnetic moment**: 0.00 μB per atom

Cell and atoms, written as CIF:
```
data_TeBr
_space_group_name_H-M_alt 'R -3 m'
_space_group_IT_number 166
_space_group_name_Hall '-R 3 2"'
_cell_length_a 4.0951
_cell_length_b 4.0951
_cell_length_c 26.0097
_cell_angle_alpha 90.00
_cell_angle_beta 90.00
_cell_angle_gamma 120.00
loop_
_atom_site_label
_atom_site_fract_x
_atom_site_fract_y
_atom_site_fract_z
Te1 0.0000 0.0000 0.1321
Br1 0.0000 0.0000 0.3911
```

Record 4
A PBEsol-optimized structure of Re2SiP, computed with SCAN.

Calculated values
**Polymorph energy (0 for the lowest one)**: 281 meV per atom
**DFT total energy**: -40.285 eV per atom
**Uncorrected formation energy**: 0.37 eV per atom
**DOS(E_F)**: 2.52 states/eV/f.u.
**Magnetic moment**: 0.00 μB per atom

Cell and atoms, written as CIF:
```
data_Re2SiP
_space_group_name_H-M_alt 'I -4 m 2'
_space_group_IT_number 119
_space_group_name_Hall 'I -4 -2'
_cell_length_a 3.844
_cell_length_b 3.844
_cell_length_c 7.368
_cell_angle_alpha 90.00
_cell_angle_beta 90.00
_cell_angle_gamma 90.00
loop_
_atom_site_label
_atom_site_fract_x
_atom_site_fract_y
_atom_site_fract_z
Re1 0.000 0.000 0.000
Re2 0.000 0.500 0.250
Si1 0.000 0.000 0.500
P1 0.000 0.500 0.750
```

Record 5
A PBEsol-optimized structure of InHg4, computed with SCAN.

Calculated values
**Formation energy from the elements**: 0.05 eV/atom
**Polymorph energy (0 for the lowest one)**: 36 meV per atom
**DFT total energy**: -61.159 eV per atom
**DOS(E_F)**: 1.80 states/eV/f.u.
**Magnetic moment**: 0.00 μB per atom

Cell and atoms, written as CIF:
```
data_InHg4
_space_group_name_H-M_alt 'I -4 3 m'
_space_group_IT_number 217
_space_group_name_Hall 'I -4 2 3'
_cell_length_a 10.050
_cell_length_b 10.050
_cell_length_c 10.050
_cell_angle_alpha 90.00
_cell_angle_beta 90.00
_cell_angle_gamma 90.00
loop_
_atom_site_label
_atom_site_fract_x
_atom_site_fract_y
_atom_site_fract_z
In1 0.167 0.167 0.833
Hg1 0.000 0.000 0.338
Hg2 0.000 0.250 0.500
Hg3 0.172 0.172 0.172
```

Record 6
A PBEsol-optimized structure of YNbH2, computed with SCAN.

Calculated values
**DFT total energy**: -16.476 eV per atom
**DOS(E_F)**: 2.86 states/eV/f.u.
**Magnetic moment**: 0.00 μB per atom

Cell and atoms, written as CIF:
```
data_YNbH2
_space_group_name_H-M_alt 'F m -3 m'
_space_group_IT_number 225
_space_group_name_Hall '-F 4 2 3'
_cell_length_a 5.795
_cell_length_b 5.795
_cell_length_c 5.795
_cell_angle_alpha 90.00
_cell_angle_beta 90.00
_cell_angle_gamma 90.00
loop_
_atom_site_label
_atom_site_fract_x
_atom_site_fract_y
_atom_site_fract_z
Y1 0.000 0.000 0.000
Nb1 0.000 0.000 0.500
H1 0.250 0.250 0.250
```

Record 7
A PBEsol-optimized structure of Li2GeAsAu, computed with SCAN.

Calculated values
**Formation energy from the elements**: 0.07 eV/atom
**DFT total energy**: -22.570 eV per atom
**DOS(E_F)**: 2.40 states/eV/f.u.
**Magnetic moment**: 0.00 μB per atom

Cell and atoms, written as CIF:
```
data_Li2GeAsAu
_space_group_name_H-M_alt 'P 4/m m m'
_space_group_IT_number 123
_space_group_name_Hall '-P 4 2'
_cell_length_a 4.590
_cell_length_b 4.590
_cell_length_c 4.890
_cell_angle_alpha 90.00
_cell_angle_beta 90.00
_cell_angle_gamma 90.00
loop_
_atom_site_label
_atom_site_fract_x
_atom_site_fract_y
_atom_site_fract_z
Li1 0.000 0.500 0.000
Ge1 0.000 0.000 0.500
As1 0.500 0.500 0.000
Au1 0.500 0.500 0.500
```

Record 8
A PBEsol-optimized structure of KSb3N, computed with SCAN.

Calculated values
**DFT total energy**: -25.353 eV per atom
**Uncorrected formation energy**: 0.53 eV per atom
**DOS(E_F)**: 4.21 states/eV/f.u.
**Magnetic moment**: 0.00 μB per atom

Cell and atoms, written as CIF:
```
data_KSb3N
_space_group_name_H-M_alt 'P m -3 m'
_space_group_IT_number 221
_space_group_name_Hall '-P 4 2 3'
_cell_length_a 4.871
_cell_length_b 4.871
_cell_length_c 4.871
_cell_angle_alpha 90.00
_cell_angle_beta 90.00
_cell_angle_gamma 90.00
loop_
_atom_site_label
_atom_site_fract_x
_atom_site_fract_y
_atom_site_fract_z
K1 0.000 0.000 0.000
Sb1 0.000 0.500 0.500
N1 0.500 0.500 0.500
```

Record 9
A PBEsol-optimized structure of Cr2Ir3, computed with SCAN.

Calculated values
**Formation energy from the elements**: -0.14 eV/atom
**DFT total energy**: -50.153 eV per atom
**DOS(E_F)**: 3.79 states/eV/f.u.
**Magnetic moment**: 0.00 μB per atom

Cell and atoms, written as CIF:
```
data_Cr2Ir3
_space_group_name_H-M_alt 'R -3 m'
_space_group_IT_number 166
_space_group_name_Hall '-R 3 2"'
_cell_length_a 2.6567
_cell_length_b 2.6567
_cell_length_c 32.1227
_cell_angle_alpha 90.00
_cell_angle_beta 90.00
_cell_angle_gamma 120.00
loop_
_atom_site_label
_atom_site_fract_x
_atom_site_fract_y
_atom_site_fract_z
Cr1 0.0000 0.0000 0.1003
Ir1 0.0000 0.0000 0.2961
Ir2 0.0000 0.0000 0.5000
```

Record 10
A PBEsol-optimized structure of Ca3Y2Ge3O12, computed with SCAN.

Calculated values
**DFT total energy**: -13.765 eV per atom
**Uncorrected formation energy**: -2.93 eV per atom
**DOS(E_F)**: 0.00 states/eV/f.u.
**Magnetic moment**: 0.00 μB per atom

Cell and atoms, written as CIF:
```
data_Ca3Y2Ge3O12
_space_group_name_H-M_alt 'I a -3 d'
_space_group_IT_number 230
_space_group_name_Hall '-I 4bd 2c 3'
_cell_length_a 12.778
_cell_length_b 12.778
_cell_length_c 12.778
_cell_angle_alpha 90.00
_cell_angle_beta 90.00
_cell_angle_gamma 90.00
loop_
_atom_site_label
_atom_site_fract_x
_atom_site_fract_y
_atom_site_fract_z
Ca1 0.000 0.250 0.125
Y1 0.000 0.000 0.000
Ge1 0.000 0.250 0.375
O1 0.035 0.057 0.660
```

Record 11
A PBEsol-optimized structure of AgB2S, computed with SCAN.

Calculated values
**DFT total energy**: -13.236 eV per atom
**Uncorrected formation energy**: 0.73 eV per atom
**DOS(E_F)**: 1.78 states/eV/f.u.
**Magnetic moment**: 0.00 μB per atom

Cell and atoms, written as CIF:
```
data_AgB2S
_space_group_name_H-M_alt 'I -4 2 d'
_space_group_IT_number 122
_space_group_name_Hall 'I -4 2bw'
_cell_length_a 4.989
_cell_length_b 4.989
_cell_length_c 8.101
_cell_angle_alpha 90.00
_cell_angle_beta 90.00
_cell_angle_gamma 90.00
loop_
_atom_site_label
_atom_site_fract_x
_atom_site_fract_y
_atom_site_fract_z
Ag1 0.000 0.000 0.000
B1 0.203 0.750 0.625
S1 0.000 0.000 0.500
```

Record 12
A PBEsol-optimized structure of BaAl2Tl2, computed with SCAN.

Calculated values
**Formation energy from the elements**: -0.32 eV/atom
**DFT total energy**: -40.275 eV per atom
**DOS(E_F)**: 1.75 states/eV/f.u.
**Magnetic moment**: 0.00 μB per atom

Cell and atoms, written as CIF:
```
data_BaAl2Tl2
_space_group_name_H-M_alt 'I 4/m m m'
_space_group_IT_number 139
_space_group_name_Hall '-I 4 2'
_cell_length_a 4.907
_cell_length_b 4.907
_cell_length_c 11.123
_cell_angle_alpha 90.00
_cell_angle_beta 90.00
_cell_angle_gamma 90.00
loop_
_atom_site_label
_atom_site_fract_x
_atom_site_fract_y
_atom_site_fract_z
Ba1 0.000 0.000 0.000
Al1 0.000 0.000 0.383
Tl1 0.000 0.500 0.250
```

Record 13
A PBEsol-optimized structure of Sc2AlNi, computed with SCAN.

Calculated values
**Formation energy from the elements**: -0.44 eV/atom
**DFT total energy**: -13.536 eV per atom
**DOS(E_F)**: 2.82 states/eV/f.u.
**Magnetic moment**: 0.03 μB per atom

Cell and atoms, written as CIF:
```
data_Sc2AlNi
_space_group_name_H-M_alt 'I m m 2'
_space_group_IT_number 44
_cell_length_a 3.109
_cell_length_b 4.606
_cell_length_c 9.674
_cell_angle_alpha 90.00
_cell_angle_beta 90.00
_cell_angle_gamma 90.00
loop_
_space_group_symop_operation_xyz
'x,y,z'
'-x,-y,z'
'-x,y,z'
'x,-y,z'
'x+1/2,y+1/2,z+1/2'
'-x+1/2,-y+1/2,z+1/2'
'-x+1/2,y+1/2,z+1/2'
'x+1/2,-y+1/2,z+1/2'
loop_
_atom_site_label
_atom_site_fract_x
_atom_site_fract_y
_atom_site_fract_z
Sc1 0.000 0.000 0.000
Sc2 0.000 0.500 0.204
Al1 0.000 0.500 0.789
Ni1 0.000 0.000 0.483
```

Record 14
A PBEsol-optimized structure of Mn2Ir, computed with SCAN.

Calculated values
**Formation energy from the elements**: -0.15 eV/atom
**DFT total energy**: -36.021 eV per atom
**DOS(E_F)**: 2.17 states/eV/f.u.
**Magnetic moment**: 2.73 μB per atom

Cell and atoms, written as CIF:
```
data_Mn2Ir
_space_group_name_H-M_alt 'P 4/m m m'
_space_group_IT_number 123
_space_group_name_Hall '-P 4 2'
_cell_length_a 4.320
_cell_length_b 4.320
_cell_length_c 2.722
_cell_angle_alpha 90.00
_cell_angle_beta 90.00
_cell_angle_gamma 90.00
loop_
_atom_site_label
_atom_site_fract_x
_atom_site_fract_y
_atom_site_fract_z
Mn1 0.000 0.500 0.000
Ir1 0.000 0.000 0.500
```

Record 15
A PBEsol-optimized structure of KSr2Au, computed with SCAN.

Calculated values
**Formation energy from the elements**: -0.10 eV/atom
**Polymorph energy (0 for the lowest one)**: 381 meV per atom
**DFT total energy**: -30.611 eV per atom
**DOS(E_F)**: 2.97 states/eV/f.u.
**Magnetic moment**: 0.13 μB per atom

Cell and atoms, written as CIF:
```
data_KSr2Au
_space_group_name_H-M_alt 'P 4/m m m'
_space_group_IT_number 123
_space_group_name_Hall '-P 4 2'
_cell_length_a 5.487
_cell_length_b 5.487
_cell_length_c 4.711
_cell_angle_alpha 90.00
_cell_angle_beta 90.00
_cell_angle_gamma 90.00
loop_
_atom_site_label
_atom_site_fract_x
_atom_site_fract_y
_atom_site_fract_z
K1 0.000 0.000 0.000
Sr1 0.000 0.500 0.500
Au1 0.500 0.500 0.000
```

Record 16
A PBEsol-optimized structure of ZrW2Cl, computed with SCAN.

Calculated values
**Polymorph energy (0 for the lowest one)**: 662 meV per atom
**DFT total energy**: -43.839 eV per atom
**Uncorrected formation energy**: 0.67 eV per atom
**DOS(E_F)**: 3.25 states/eV/f.u.
**Magnetic moment**: 0.00 μB per atom

Cell and atoms, written as CIF:
```
data_ZrW2Cl
_space_group_name_H-M_alt 'P m m m'
_space_group_IT_number 47
_cell_length_a 2.827
_cell_length_b 4.732
_cell_length_c 5.194
_cell_angle_alpha 90.00
_cell_angle_beta 90.00
_cell_angle_gamma 90.00
loop_
_space_group_symop_operation_xyz
'x,y,z'
'-x,-y,-z'
'-x,-y,z'
'x,y,-z'
'x,-y,-z'
'-x,y,z'
'-x,y,-z'
'x,-y,z'
loop_
_atom_site_label
_atom_site_fract_x
_atom_site_fract_y
_atom_site_fract_z
Zr1 0.000 0.000 0.000
W1 0.500 0.500 0.238
Cl1 0.000 0.000 0.500
```

Record 17
A PBEsol-optimized structure of Pr6Fe13Si, computed with SCAN.

Calculated values
**DFT total energy**: -25.341 eV per atom
**Uncorrected formation energy**: -0.06 eV per atom
**DOS(E_F)**: 18.09 states/eV/f.u.
**Magnetic moment**: 1.46 μB per atom

Cell and atoms, written as CIF:
```
data_Pr6Fe13Si
_space_group_name_H-M_alt 'I 4/m c m'
_space_group_IT_number 140
_space_group_name_Hall '-I 4 2c'
_cell_length_a 7.847
_cell_length_b 7.847
_cell_length_c 22.817
_cell_angle_alpha 90.00
_cell_angle_beta 90.00
_cell_angle_gamma 90.00
loop_
_atom_site_label
_atom_site_fract_x
_atom_site_fract_y
_atom_site_fract_z
Pr1 0.000 0.000 0.109
Pr2 0.167 0.333 0.188
Fe1 0.000 0.500 0.000
Fe2 0.066 0.209 0.500
Fe3 0.112 0.388 0.406
Fe4 0.180 0.320 0.059
Si1 0.000 0.000 0.250
```

Record 18
A PBEsol-optimized structure of MgC3, computed with SCAN.

Calculated values
**Formation energy from the elements**: 0.87 eV/atom
**Polymorph energy (0 for the lowest one)**: 0 meV per atom
**DFT total energy**: -7.952 eV per atom
**DOS(E_F)**: 1.11 states/eV/f.u.
**Magnetic moment**: 0.07 μB per atom

Cell and atoms, written as CIF:
```
data_MgC3
_space_group_name_H-M_alt 'I m m m'
_space_group_IT_number 71
_space_group_name_Hall '-I 2 2'
_cell_length_a 3.056
_cell_length_b 4.959
_cell_length_c 5.889
_cell_angle_alpha 90.00
_cell_angle_beta 90.00
_cell_angle_gamma 90.00
loop_
_atom_site_label
_atom_site_fract_x
_atom_site_fract_y
_atom_site_fract_z
Mg1 0.000 0.000 0.000
C1 0.000 0.500 0.000
C2 0.000 0.500 0.222
```

Record 19
A PBEsol-optimized structure of LiFeRe4, computed with SCAN.

Calculated values
**Formation energy from the elements**: 0.47 eV/atom
**DFT total energy**: -50.350 eV per atom
**DOS(E_F)**: 3.47 states/eV/f.u.
**Magnetic moment**: 0.60 μB per atom

Cell and atoms, written as CIF:
```
data_LiFeRe4
_space_group_name_H-M_alt 'F -4 3 m'
_space_group_IT_number 216
_space_group_name_Hall 'F -4 2 3'
_cell_length_a 7.223
_cell_length_b 7.223
_cell_length_c 7.223
_cell_angle_alpha 90.00
_cell_angle_beta 90.00
_cell_angle_gamma 90.00
loop_
_atom_site_label
_atom_site_fract_x
_atom_site_fract_y
_atom_site_fract_z
Li1 0.000 0.000 0.000
Fe1 0.250 0.250 0.250
Re1 0.125 0.125 0.625
```

Record 20
A PBEsol-optimized structure of SrIr2Rh, computed with SCAN.

Calculated values
**Formation energy from the elements**: 0.40 eV/atom
**DFT total energy**: -49.164 eV per atom
**DOS(E_F)**: 2.84 states/eV/f.u.
**Magnetic moment**: 0.00 μB per atom

Cell and atoms, written as CIF:
```
data_SrIr2Rh
_space_group_name_H-M_alt 'P 4/m m m'
_space_group_IT_number 123
_space_group_name_Hall '-P 4 2'
_cell_length_a 3.980
_cell_length_b 3.980
_cell_length_c 4.239
_cell_angle_alpha 90.00
_cell_angle_beta 90.00
_cell_angle_gamma 90.00
loop_
_atom_site_label
_atom_site_fract_x
_atom_site_fract_y
_atom_site_fract_z
Sr1 0.000 0.000 0.000
Ir1 0.000 0.500 0.500
Rh1 0.500 0.500 0.000
```

Record 21
A PBEsol-optimized structure of Rb2TlGaCl6, computed with SCAN.

Calculated values
**DFT total energy**: -19.382 eV per atom
**Uncorrected formation energy**: -1.58 eV per atom
**DOS(E_F)**: 0.00 states/eV/f.u.
**Magnetic moment**: 0.00 μB per atom

Cell and atoms, written as CIF:
```
data_Rb2TlGaCl6
_space_group_name_H-M_alt 'F m -3 m'
_space_group_IT_number 225
_space_group_name_Hall '-F 4 2 3'
_cell_length_a 10.615
_cell_length_b 10.615
_cell_length_c 10.615
_cell_angle_alpha 90.00
_cell_angle_beta 90.00
_cell_angle_gamma 90.00
loop_
_atom_site_label
_atom_site_fract_x
_atom_site_fract_y
_atom_site_fract_z
Rb1 0.250 0.250 0.250
Tl1 0.000 0.000 0.000
Ga1 0.000 0.000 0.500
Cl1 0.000 0.000 0.277
```